No. 1
Computed, not measured: a relaxed structure of SiBiSe2S at the PBE level of DFT.

Unit cell a=5.4414 b=5.4414 c=5.6763 alpha=90.00 beta=90.00 gamma=90.00
Last column: nearest neighbours and their distance in Å.
Space group P4/mmm (No. 123)
Symmetry-distinct sites (fractional):
Si 0.0000 0.0000 0.0000  2 Bi 2.84
Bi 0.0000 0.0000 0.5000  4 Se 2.72, 2 Si 2.84
Se 0.0000 0.5000 0.5000  2 Bi 2.72
S 0.5000 0.5000 0.0000  4 Si 3.85, 8 Se 3.93

Summary:
**Size of the total moment**: 1.9 μB per formula unit
**Calculated volume**: 168.1 Å³ per cell
**VASP energy**: -2.906 eV per atom
**DOS at the Fermi energy**: 5.59 states/eV/f.u.

***

No. 2
Computed, not measured: a relaxed structure of FeCo2Si at the PBE level of DFT.

Unit cell a=2.5626 b=2.5626 c=23.0926 alpha=90.00 beta=90.00 gamma=120.00
Last column: nearest neighbours and their distance in Å.
Space group R3m (No. 160, hexagonal axes)
Symmetry-distinct sites (fractional):
Fe 0.0000 0.0000 0.0000  3 Si 2.40, 3 Co 2.46, 6 Fe 2.56
Co 0.0000 0.0000 0.5070  3 Si 2.33, 9 Co 2.53-2.56
Co 0.0000 0.0000 0.7517  3 Fe 2.46, 9 Co 2.53-2.56
Si 0.0000 0.0000 0.2513  3 Co 2.33, 3 Fe 2.40, 6 Si 2.56

Summary:
**Size of the total moment**: 2.9 μB per formula unit
**Calculated volume**: 131.3 Å³ per cell
**VASP energy**: -7.101 eV per atom
**DOS at the Fermi energy**: 2.69 states/eV/f.u.

***

No. 3
Computed, not measured: a relaxed structure of Tb4CePrS8 at the PBE level of DFT.

Unit cell a=8.1591 b=8.1591 c=20.2471 alpha=90.00 beta=90.00 gamma=120.00
Last column: nearest neighbours and their distance in Å.
Space group R3m (No. 160, hexagonal axes)
Symmetry-distinct sites (fractional):
Tb 0.0000 0.0000 0.0000  4 S 2.63-2.67
Tb 0.0001 0.5001 0.8741  6 S 2.75-2.81
Ce 0.0000 0.0000 0.7477  4 S 2.71-2.75
Pr 0.0000 0.0000 0.3737  6 S 2.86-2.90
S 0.0000 0.0000 0.1321  4 Tb 2.67-2.81
S 0.0000 0.0000 0.6121  1 Ce 2.75, 3 Tb 2.76
S 0.0231 0.5116 0.1310  1 Ce 2.71, 2 Tb 2.75, 1 Pr 2.86
S 0.1726 0.3453 0.9516  3 Tb 2.63-2.79, 1 Pr 2.90

Summary:
**Size of the total moment**: 1.6 μB per formula unit
**Calculated volume**: 1167.3 Å³ per cell
**VASP energy**: -6.357 eV per atom
**DOS at the Fermi energy**: 12.72 states/eV/f.u.

***

No. 4
Computed, not measured: a relaxed structure of Sm4Ho2Sb3N2 at the PBE level of DFT.

Unit cell a=4.7348 b=4.7348 c=25.3819 alpha=90.00 beta=90.00 gamma=90.00
Last column: nearest neighbours and their distance in Å.
Space group I4/mmm (No. 139)
Symmetry-distinct sites (fractional):
Sm 0.0000 0.5000 0.0843  2 N 2.43
Ho 0.0000 0.0000 0.1926  1 N 2.18
Sb 0.0000 0.0000 0.3185  5 Ho 3.20-3.36, 4 Sm 3.42
Sb 0.0000 0.0000 0.5000  8 Sm 3.19
N 0.0000 0.0000 0.1066  1 Ho 2.18, 4 Sm 2.43

Summary:
**Size of the total moment**: 0.0 μB per formula unit
**Calculated volume**: 569.0 Å³ per cell
**VASP energy**: -6.332 eV per atom
**DOS at the Fermi energy**: 3.59 states/eV/f.u.

***

No. 5
Computed, not measured: a relaxed structure of MgRe2Ru at the PBE level of DFT.

Unit cell a=7.4776 b=7.4776 c=5.0338 alpha=90.00 beta=90.00 gamma=90.00
Last column: nearest neighbours and their distance in Å.
Space group I-42d (No. 122)
Symmetry-distinct sites (fractional):
Mg 0.0000 0.0000 0.0000  2 Ru 2.52
Re 0.1955 0.2500 0.6250  2 Ru 2.46, 2 Re 2.65
Ru 0.0000 0.0000 0.5000  4 Re 2.46, 2 Mg 2.52

Summary:
**Size of the total moment**: 0.0 μB per formula unit
**Calculated volume**: 281.5 Å³ per cell
**VASP energy**: -8.127 eV per atom
**DOS at the Fermi energy**: 3.66 states/eV/f.u.
**Energy of formation**: 0.815 eV/atom

***

No. 6
Computed, not measured: a relaxed structure of BaIn2HgPd at the PBE level of DFT.

Unit cell a=5.2396 b=5.2396 c=5.3876 alpha=90.00 beta=90.00 gamma=90.00
Last column: nearest neighbours and their distance in Å.
Space group P4/mmm (No. 123)
Symmetry-distinct sites (fractional):
Ba 0.0000 0.0000 0.0000  4 Hg 3.70, 8 In 3.76
In 0.0000 0.5000 0.5000  2 Pd 2.62
Hg 0.5000 0.5000 0.0000  2 Pd 2.69
Pd 0.5000 0.5000 0.5000  4 In 2.62, 2 Hg 2.69

Summary:
**Size of the total moment**: 0.0 μB per formula unit
**Calculated volume**: 147.9 Å³ per cell
**VASP energy**: -2.945 eV per atom
**DOS at the Fermi energy**: 3.37 states/eV/f.u.
**Energy of formation**: -0.366 eV/atom

***

No. 7
Computed, not measured: a relaxed structure of PSe3 at the PBE level of DFT.

Unit cell a=11.6999 b=3.3068 c=5.3401 alpha=90.00 beta=107.76 gamma=90.00
Last column: nearest neighbours and their distance in Å.
Space group C2/m (No. 12)
Symmetry-distinct sites (fractional):
P 0.0000 0.0000 0.0000  4 Se 2.46
Se 0.0000 0.5000 0.5000  2 Se 2.61
Se 0.1515 0.5000 0.2275  2 P 2.46, 1 Se 2.61

Summary:
**Size of the total moment**: 0.0 μB per formula unit
**Calculated volume**: 196.8 Å³ per cell
**VASP energy**: -3.625 eV per atom
**DOS at the Fermi energy**: 2.54 states/eV/f.u.

***

No. 8
Computed, not measured: a relaxed structure of Ti3Zn3Pd2 at the PBE level of DFT.

Unit cell a=6.9342 b=6.9342 c=3.1166 alpha=90.00 beta=90.00 gamma=120.00
Last column: nearest neighbours and their distance in Å.
Space group P-62m (No. 189)
Symmetry-distinct sites (fractional):
Ti 0.0000 0.4088 0.0000  4 Pd 2.61, 4 Zn 2.91
Zn 0.0000 0.7735 0.5000  2 Zn 2.72, 2 Pd 2.76, 6 Ti 2.91-2.97
Pd 0.3333 0.6667 0.5000  6 Ti 2.61, 3 Zn 2.76

Summary:
**Size of the total moment**: 0.0 μB per formula unit
**Calculated volume**: 129.8 Å³ per cell
**VASP energy**: -5.041 eV per atom
**DOS at the Fermi energy**: 8.50 states/eV/f.u.
**Energy of formation**: -0.305 eV/atom

***

Which formula does entry 5 have? MgRe2Ru

***

Look up the VASP energy of the first one. -2.906 eV per atom